# Na2CeWO6

Na2CeWO6 after structural relaxation (PBE+U, Alexandria via LeMat-Bulk).

abc: 5.686 5.824 8.144
angles: 90.00 90.20 90.00
Fractional coordinates of all 20 atoms:
O: 0.090 0.470 0.769
O: 0.778 0.812 0.544
O: 0.590 0.030 0.269
O: 0.222 0.188 0.456
O: 0.278 0.688 0.044
Ce: 0.000 0.500 0.500
O: 0.183 0.224 0.051
O: 0.317 0.724 0.449
Na: 0.508 0.534 0.752
Na: 0.992 0.034 0.748
W: 0.000 0.500 0.000
Ce: 0.500 0.000 0.000
W: 0.500 0.000 0.500
O: 0.817 0.776 0.949
Na: 0.492 0.466 0.248
O: 0.910 0.530 0.231
O: 0.722 0.312 0.956
O: 0.410 0.970 0.731
Na: 0.008 0.966 0.252
O: 0.683 0.276 0.551

## Properties
**Uncorrected energy**: -6.957 eV per atom
**E above lowest polymorph**: 0.000 eV/atom
**Total magnetization**: 0.000 μB per formula unit
**N(E_F)**: 0.0 states/eV per cell